1.
A relaxed structure of Np3Si6Rh20. Source: the Alexandria database, functional PBE.

Values from the calculation:
VASP energy = -8.11 eV per atom
symmetry = Fm-3m, No. 225
calculated density = 11.11 g/cm3

a = 8.5307 Å, b = 8.5307 Å, c = 8.5307 Å
α = 60.00°, β = 60.00°, γ = 60.00°
Site moments in Bohr magnetons follow the coordinates.
Positions (direct):
Rh 0.6629 0.0000 0.0000  -0.30
Rh 0.0000 0.6629 0.3371  -0.30
Rh 0.3371 0.6629 0.0000  -0.30
Rh 0.0000 0.6629 0.0000  -0.30
Rh 0.0000 0.0000 0.3371  -0.30
Rh 0.0000 0.3371 0.0000  -0.30
Rh 0.8662 0.3779 0.3779  -0.20
Rh 0.6221 0.6221 0.1338  -0.20
Rh 0.3371 0.0000 0.6629  -0.30
Rh 0.0000 0.3371 0.6629  -0.30
Rh 0.3779 0.3779 0.8662  -0.20
Rh 0.3371 0.0000 0.0000  -0.30
Rh 0.0000 0.0000 0.6629  -0.30
Rh 0.6221 0.6221 0.6221  -0.20
Rh 0.1338 0.6221 0.6221  -0.20
Rh 0.6629 0.0000 0.3371  -0.30
Rh 0.6629 0.3371 0.0000  -0.30
Rh 0.3779 0.8662 0.3779  -0.20
Rh 0.6221 0.1338 0.6221  -0.20
Rh 0.3779 0.3779 0.3779  -0.20
Si 0.2769 0.2769 0.7231  0.01
Si 0.2769 0.7231 0.2769  0.01
Si 0.7231 0.7231 0.2769  0.01
Si 0.2769 0.7231 0.7231  0.01
Si 0.7231 0.2769 0.2769  0.01
Si 0.7231 0.2769 0.7231  0.01
Np 0.7500 0.7500 0.7500  2.99
Np 0.0000 0.0000 0.0000  2.39
Np 0.2500 0.2500 0.2500  2.99

2.
A relaxed structure of NpSiRh3. Source: the Alexandria database, functional PBE.

Values from the calculation:
VASP energy = -8.51 eV per atom
symmetry = P1, No. 1
calculated density = 10.48 g/cm3

a = 5.5581 Å, b = 5.5600 Å, c = 7.5183 Å
α = 68.32°, β = 68.19°, γ = 60.02°
Site moments in Bohr magnetons follow the coordinates.
Positions (direct):
Si 0.0452 0.1779 0.6479  -0.01
Si 0.8888 0.0163 0.1246  0.00
Np 0.6814 0.8101 0.7445  3.33
Np 0.4429 0.5660 0.4662  3.39
Rh 0.4674 0.1019 0.3682  -0.23
Rh 0.9817 0.5908 0.3645  -0.22
Rh 0.9808 0.1021 0.3678  -0.22
Rh 0.1417 0.7425 0.8914  -0.14
Rh 0.6119 0.2708 0.8935  -0.14
Rh 0.1413 0.2714 0.8922  -0.14

3.
A relaxed structure of Np3Si2Rh6. Source: the Alexandria database, functional PBE.

Values from the calculation:
VASP energy = -9.01 eV per atom
symmetry = Im-3m, No. 229
calculated density = 12.45 g/cm3

a = 7.8280 Å, b = 7.8280 Å, c = 7.8280 Å
α = 109.47°, β = 109.47°, γ = 109.47°
Site moments in Bohr magnetons follow the coordinates.
Positions (direct):
Rh 0.6503 0.6503 0.3006  -0.22
Rh 0.6503 0.3497 0.0000  -0.22
Rh 0.3497 0.6994 0.3497  -0.22
Rh 0.3497 0.6503 0.0000  -0.22
Rh 0.6503 0.0000 0.3497  -0.22
Rh 0.6503 0.3006 0.6503  -0.22
Rh 0.3006 0.6503 0.6503  -0.22
Rh 0.0000 0.6503 0.3497  -0.22
Rh 0.3497 0.3497 0.6994  -0.22
Rh 0.0000 0.3497 0.6503  -0.22
Rh 0.6994 0.3497 0.3497  -0.22
Rh 0.3497 0.0000 0.6503  -0.22
Si 0.5000 0.5000 0.5000  -0.05
Si 0.0000 0.5000 0.0000  -0.05
Si 0.5000 0.0000 0.0000  -0.05
Si 0.0000 0.0000 0.5000  -0.05
Np 0.7418 0.0000 0.7418  3.42
Np 0.2582 0.0000 0.2582  3.42
Np 0.0000 0.7418 0.7418  3.42
Np 0.2582 0.2582 0.0000  3.42
Np 0.7418 0.7418 0.0000  3.42
Np 0.0000 0.2582 0.2582  3.42

4.
A relaxed structure of Np2Si7Rh12. Source: the Alexandria database, functional PBE.

Values from the calculation:
VASP energy = -8.04 eV per atom
symmetry = P-3, No. 147
calculated density = 9.97 g/cm3

a = 3.8363 Å, b = 9.7723 Å, c = 9.7723 Å
α = 120.00°, β = 90.00°, γ = 90.00°
Site moments in Bohr magnetons follow the coordinates.
Positions (direct):
Rh 0.7518 0.0655 0.4454  -0.07
Rh 0.2540 0.7378 0.8582  0.00
Rh 0.2482 0.9345 0.5546  -0.07
Rh 0.2540 0.1204 0.2622  0.00
Rh 0.2540 0.1418 0.8796  0.00
Rh 0.2482 0.6201 0.0655  -0.07
Rh 0.7460 0.8796 0.7378  0.00
Rh 0.2482 0.4454 0.3799  -0.07
Rh 0.7460 0.8582 0.1204  0.00
Rh 0.7518 0.3799 0.9345  -0.07
Rh 0.7460 0.2622 0.1418  0.00
Rh 0.7518 0.5546 0.6201  -0.07
Si 0.2492 0.8912 0.2902  -0.01
Si 0.7508 0.6010 0.8912  -0.01
Si 0.7508 0.1088 0.7098  -0.01
Si 0.7508 0.2902 0.3990  -0.01
Si 0.2492 0.7098 0.6010  -0.01
Si 0.2492 0.3990 0.1088  -0.01
Si 0.5000 0.0000 0.0000  0.00
Np 0.7479 0.6667 0.3333  3.53
Np 0.2521 0.3333 0.6667  3.53

5.
A relaxed structure of NpSi2Rh2. Source: the Alexandria database, functional PBE.

Values from the calculation:
VASP energy = -7.50 eV per atom
symmetry = I4/mmm, No. 139
calculated density = 6.34 g/cm3
energy above the lowest structure with this stoichiometry = 973 meV/atom

a = 4.0005 Å, b = 4.0005 Å, c = 8.6367 Å
α = 103.39°, β = 103.39°, γ = 90.00°
Site moments in Bohr magnetons follow the coordinates.
Positions (direct):
Si 0.1762 0.1762 0.3524  0.01
Si 0.8238 0.8238 0.6476  0.01
Rh 0.7500 0.2500 0.5000  0.00
Rh 0.2500 0.7500 0.5000  0.00
Np 0.0000 0.0000 0.0000  4.59

6.
A relaxed structure of Np3Si4Rh7. Source: the Alexandria database, functional PBE.

Values from the calculation:
VASP energy = -8.68 eV per atom
symmetry = C2/m, No. 12
calculated density = 11.14 g/cm3

a = 3.9577 Å, b = 7.8706 Å, c = 8.1854 Å
α = 71.23°, β = 76.01°, γ = 75.44°
Site moments in Bohr magnetons follow the coordinates.
Positions (direct):
Si 0.3368 0.5512 0.7752  0.00
Si 0.6632 0.4488 0.2248  0.00
Si 0.8865 0.8859 0.3411  -0.01
Si 0.1135 0.1141 0.6589  -0.01
Rh 0.4974 0.2303 0.7749  -0.10
Rh 0.8343 0.4049 0.9266  -0.07
Rh 0.3025 0.8456 0.5494  -0.10
Rh 0.5026 0.7697 0.2251  -0.10
Rh 0.6975 0.1544 0.4506  -0.10
Rh 0.0000 0.0000 0.0000  -0.18
Rh 0.1657 0.5951 0.0734  -0.07
Np 0.3297 0.1733 0.1674  3.26
Np 0.6703 0.8267 0.8326  3.26
Np 0.0000 0.5000 0.5000  3.69

7.
A relaxed structure of Np2Si3Rh. Source: the Alexandria database, functional PBE.

Values from the calculation:
VASP energy = -8.66 eV per atom
symmetry = Fmmm, No. 69
calculated density = 9.77 g/cm3

a = 5.6367 Å, b = 5.6367 Å, c = 8.0713 Å
α = 109.08°, β = 109.08°, γ = 93.67°
Site moments in Bohr magnetons follow the coordinates.
Positions (direct):
Np 0.7444 0.7444 0.0000  -3.54
Np 0.2500 0.7500 0.5000  3.60
Np 0.2556 0.2556 0.0000  -3.54
Np 0.7500 0.2500 0.5000  3.60
Si 0.1659 0.1659 0.3317  -0.02
Si 0.1616 0.6731 0.8348  0.01
Si 0.3269 0.8384 0.1652  0.01
Si 0.6731 0.1616 0.8348  0.01
Si 0.8341 0.8341 0.6683  -0.02
Si 0.8384 0.3269 0.1652  0.01
Rh 0.3357 0.3357 0.6714  -0.04
Rh 0.6643 0.6643 0.3286  -0.04

8.
A relaxed structure of Np4Si8Rh. Source: the Alexandria database, functional PBE.

Values from the calculation:
VASP energy = -8.10 eV per atom
symmetry = Pmm2, No. 25
calculated density = 8.83 g/cm3

a = 3.8603 Å, b = 4.1278 Å, c = 15.0543 Å
α = 90.00°, β = 90.00°, γ = 90.00°
Site moments in Bohr magnetons follow the coordinates.
Positions (direct):
Si 0.5000 0.0000 0.5679  0.02
Si 0.0000 0.5000 0.2249  -0.03
Si 0.5000 0.5000 0.0499  -0.04
Si 0.5000 0.0000 0.2209  -0.02
Si 0.0000 0.0000 0.7562  -0.01
Si 0.5000 0.5000 0.7613  -0.01
Si 0.0000 0.5000 0.9404  -0.05
Si 0.0000 0.0000 0.4692  -0.03
Np 0.0000 0.5000 0.6142  -3.40
Np 0.0000 0.0000 0.0859  3.17
Np 0.5000 0.5000 0.4014  3.56
Np 0.5000 0.0000 0.9018  3.33
Rh 0.0000 0.0000 0.3091  -0.10

9.
A relaxed structure of NpSi2Rh2. Source: the Alexandria database, functional PBE.

Values from the calculation:
VASP energy = -8.47 eV per atom
symmetry = I4/mmm, No. 139
calculated density = 10.04 g/cm3
energy above the lowest structure with this stoichiometry = 0 meV/atom

a = 5.8283 Å, b = 5.8283 Å, c = 5.8283 Å
α = 139.57°, β = 139.57°, γ = 58.51°
Site moments in Bohr magnetons follow the coordinates.
Positions (direct):
Np 0.0000 0.0000 0.0000  3.71
Si 0.3805 0.3805 0.0000  -0.01
Si 0.6195 0.6195 0.0000  -0.01
Rh 0.2500 0.7500 0.5000  0.03
Rh 0.7500 0.2500 0.5000  0.03

10.
A relaxed structure of Np2Si3Rh5. Source: the Alexandria database, functional PBE.

Values from the calculation:
VASP energy = -8.45 eV per atom
symmetry = Cmc2_1, No. 36
calculated density = 11.03 g/cm3

a = 12.5640 Å, b = 12.5640 Å, c = 6.3615 Å
α = 90.00°, β = 90.00°, γ = 161.24°
Site moments in Bohr magnetons follow the coordinates.
Positions (direct):
Rh 0.0525 0.9475 0.6016  -0.03
Rh 0.9475 0.0525 0.1016  -0.03
Rh 0.1256 0.8744 0.2547  0.06
Rh 0.2951 0.7049 0.9265  -0.07
Rh 0.7049 0.2951 0.4265  -0.07
Rh 0.6013 0.3987 0.8953  -0.14
Rh 0.7160 0.2840 0.9961  -0.13
Rh 0.8744 0.1256 0.7547  0.06
Rh 0.3987 0.6013 0.3953  -0.14
Rh 0.2840 0.7160 0.4961  -0.13
Si 0.6088 0.3912 0.4843  0.00
Si 0.3912 0.6088 0.9843  0.00
Si 0.0538 0.9462 0.9959  0.00
Si 0.7771 0.2229 0.7059  0.00
Si 0.9462 0.0538 0.4959  0.00
Si 0.2229 0.7771 0.2059  0.00
Np 0.8260 0.1740 0.2389  3.37
Np 0.5100 0.4900 0.2657  0.07
Np 0.4900 0.5100 0.7657  0.07
Np 0.1740 0.8260 0.7389  3.37

11.
A relaxed structure of Np2Si4Rh5. Source: the Alexandria database, functional PBE.

Values from the calculation:
VASP energy = -8.31 eV per atom
symmetry = Fmmm, No. 69
calculated density = 9.80 g/cm3

a = 5.6030 Å, b = 5.5387 Å, c = 7.5103 Å
α = 79.12°, β = 68.10°, γ = 59.62°
Site moments in Bohr magnetons follow the coordinates.
Positions (direct):
Rh 0.5000 0.5000 0.0000  -0.07
Rh 0.5000 0.0000 0.0000  -0.03
Rh 0.7500 0.5000 0.5000  -0.01
Rh 0.2500 0.5000 0.5000  -0.01
Rh 0.0000 0.5000 0.0000  -0.07
Si 0.2176 0.2960 0.2687  0.00
Si 0.5136 0.7040 0.2687  0.00
Si 0.4864 0.2960 0.7313  0.00
Si 0.7824 0.7040 0.7313  0.00
Np 0.1218 0.0000 0.7563  3.89
Np 0.8782 0.0000 0.2437  3.89

12.
A relaxed structure of NpSi2Rh3. Source: the Alexandria database, functional PBE.

Values from the calculation:
VASP energy = -8.37 eV per atom
symmetry = C2/m, No. 12
calculated density = 10.34 g/cm3

a = 3.9185 Å, b = 8.3144 Å, c = 9.6528 Å
α = 107.94°, β = 90.00°, γ = 103.63°
Site moments in Bohr magnetons follow the coordinates.
Positions (direct):
Si 0.6372 0.2744 0.4488  -0.01
Si 0.3628 0.7256 0.5512  -0.01
Si 0.1939 0.3878 0.1238  -0.01
Si 0.5396 0.0792 0.7744  -0.01
Si 0.8061 0.6122 0.8762  -0.01
Si 0.4604 0.9208 0.2256  -0.01
Np 0.1617 0.3233 0.6998  3.53
Np 0.8383 0.6767 0.3002  3.53
Np 0.0000 0.0000 0.0000  3.34
Rh 0.6162 0.2324 0.1920  -0.12
Rh 0.3209 0.6417 0.0425  -0.07
Rh 0.2188 0.4375 0.3903  -0.08
Rh 0.6791 0.3583 0.9575  -0.07
Rh 0.5000 0.0000 0.5000  -0.09
Rh 0.3838 0.7676 0.8080  -0.12
Rh 0.9585 0.9170 0.6711  -0.08
Rh 0.7812 0.5625 0.6097  -0.08
Rh 0.0415 0.0830 0.3289  -0.08